First-principles (PBE-GGA) data for K12AgAu4O3 after structural relaxation, as listed in Alexandria via LeMat-Bulk.

## Properties
total magnetization = 0.00 μB/f.u.
SG = Im-3m, No. 229
uncorrected formation energy = -11.08 eV/f.u.

a = 9.616 Å, b = 9.616 Å, c = 9.616 Å
α = 109.47°, β = 109.47°, γ = 109.47°
Element x y z (fractional)
K: 0.250 0.500 0.750
K: 0.720 0.000 0.720
K: 0.280 0.000 0.280
K: 0.750 0.500 0.250
K: 0.720 0.720 0.000
K: 0.280 0.280 0.000
K: 0.750 0.250 0.500
K: 0.250 0.750 0.500
K: 0.500 0.250 0.750
K: 0.000 0.720 0.720
K: 0.500 0.750 0.250
K: 0.000 0.280 0.280
Ag: 0.000 0.000 0.000
Au: 0.500 0.500 0.500
Au: 0.000 0.000 0.500
Au: 0.500 0.000 0.000
Au: 0.000 0.500 0.000
O: 0.500 0.000 0.500
O: 0.500 0.500 0.000
O: 0.000 0.500 0.500